one | The following is a DFT calculation (PBE) of Ti2CoCu2 after structural relaxation.

```
Ti2CoCu2
1.0
6.606 0.000 0.000
0.000 6.606 0.000
0.000 0.000 3.191
Ti Cu Co
4 4 2
Direct
0.821 0.321 0.500 Ti
0.679 0.821 0.500 Ti
0.179 0.679 0.500 Ti
0.321 0.179 0.500 Ti
0.374 0.874 0.000 Cu
0.626 0.126 0.000 Cu
0.126 0.374 0.000 Cu
0.874 0.626 0.000 Cu
0.000 0.000 0.000 Co
0.500 0.500 0.000 Co
```

Crystal system: tetragonal
V, Å³/cell: 139.2

two | The following is a DFT calculation (PBE) of Ti2CoCu2 after structural relaxation.

```
Ti2CoCu2
1.0
3.048 0.000 -0.489
-0.078 3.047 -0.489
-0.387 -0.397 7.334
Ti Cu Co
2 2 1
Direct
0.600 0.600 0.200 Ti
0.400 0.400 0.800 Ti
0.795 0.795 0.590 Cu
0.205 0.205 0.410 Cu
0.000 0.000 0.000 Co
```

Crystal system: tetragonal
V, Å³/cell: 67.0

How do the energies compare? Relative to the most stable structure, in eV/atom: one 0.231; two 0.000.

one | The following is a DFT calculation (PBE) of Ti2Co2Cu after structural relaxation.

```
Ti2Co2Cu
1.0
-2.024 6.353 -1.264
0.096 -1.295 -6.661
-2.755 -0.853 0.126
Ti Cu Co
4 2 4
Direct
0.164 0.664 0.500 Ti
0.664 0.836 0.500 Ti
0.336 0.164 0.500 Ti
0.836 0.336 0.500 Ti
0.500 0.500 0.000 Cu
0.000 0.000 0.000 Cu
0.136 0.364 0.000 Co
0.636 0.136 0.000 Co
0.864 0.636 0.000 Co
0.364 0.864 0.000 Co
```

Crystal system: tetragonal
V, Å³/cell: 133.0

two | The following is a DFT calculation (PBE) of Ti2Co2Cu after structural relaxation.

```
Ti2Co2Cu
1.0
-3.638 -4.583 -3.881
-1.788 -3.505 5.816
-2.259 1.577 0.256
Co Ti Cu
4 4 2
Direct
0.357 0.143 0.500 Co
0.643 0.857 0.500 Co
0.857 0.357 0.500 Co
0.143 0.643 0.500 Co
0.348 0.848 0.000 Ti
0.652 0.152 0.000 Ti
0.152 0.348 0.000 Ti
0.848 0.652 0.000 Ti
0.000 0.000 0.000 Cu
0.500 0.500 0.000 Cu
```

Crystal system: tetragonal
V, Å³/cell: 136.4

How do the energies compare? Relative to the most stable structure, in eV/atom: one 0.000; two 0.187.

one | The following is a DFT calculation (PBE) of Ti6Co2Cu after structural relaxation.

```
Ti6Co2Cu
1.0
5.242 0.000 0.381
0.000 6.620 0.000
-0.048 0.000 7.972
Ti Cu Co
12 2 4
Direct
0.669 0.138 0.952 Ti
0.169 0.362 0.452 Ti
0.808 0.929 0.239 Ti
0.308 0.571 0.739 Ti
0.192 0.071 0.761 Ti
0.692 0.429 0.261 Ti
0.640 0.239 0.578 Ti
0.331 0.862 0.048 Ti
0.831 0.638 0.548 Ti
0.360 0.761 0.422 Ti
0.860 0.739 0.922 Ti
0.140 0.261 0.078 Ti
0.000 0.000 0.500 Cu
0.500 0.500 0.000 Cu
0.104 0.592 0.201 Co
0.896 0.408 0.799 Co
0.396 0.092 0.299 Co
0.604 0.908 0.701 Co
```

Crystal system: monoclinic
V, Å³/cell: 276.8

two | The following is a DFT calculation (PBE) of Ti6Co2Cu after structural relaxation.

```
Ti6Co2Cu
1.0
-0.095 1.525 -6.974
6.534 -0.169 2.874
-2.365 -6.582 1.438
Ti Co Cu
12 4 2
Direct
0.892 0.702 0.190 Ti
0.294 0.968 0.674 Ti
0.199 0.767 0.966 Ti
0.801 0.767 0.569 Ti
0.801 0.233 0.034 Ti
0.512 0.702 0.810 Ti
0.706 0.032 0.326 Ti
0.706 0.379 0.674 Ti
0.488 0.298 0.190 Ti
0.108 0.298 0.810 Ti
0.199 0.233 0.431 Ti
0.294 0.621 0.326 Ti
0.663 0.000 0.663 Co
0.500 0.364 0.864 Co
0.337 0.000 0.337 Co
0.500 0.636 0.136 Co
0.000 0.500 0.500 Cu
0.000 0.000 0.000 Cu
```

Crystal system: orthorhombic
V, Å³/cell: 276.2

How do the energies compare? Relative to the most stable structure, in eV/atom: one 0.113; two 0.000.

one | The following is a DFT calculation (PBE) of Tm6CoCu after structural relaxation.

```
Tm6CoCu
1.0
-2.393 1.488 -3.926
2.842 -2.753 -2.775
-5.166 -7.055 -2.499
Tm Co Cu
6 1 1
Direct
0.249 0.249 0.503 Tm
0.595 0.095 0.810 Tm
0.905 0.405 0.190 Tm
0.095 0.595 0.810 Tm
0.405 0.905 0.190 Tm
0.751 0.751 0.497 Tm
0.000 0.000 0.000 Co
0.500 0.500 0.000 Cu
```

Crystal system: tetragonal
V, Å³/cell: 196.8

two | The following is a DFT calculation (PBE) of Tm6CoCu after structural relaxation.

```
Tm6CoCu
1.0
6.486 0.354 0.000
1.932 6.245 0.000
0.966 3.123 5.448
Tm Co Cu
6 1 1
Direct
0.743 0.086 0.353 Tm
0.261 0.256 0.000 Tm
0.739 0.744 0.000 Tm
0.743 0.439 0.647 Tm
0.257 0.914 0.647 Tm
0.257 0.561 0.353 Tm
0.500 0.500 0.000 Co
0.000 0.000 0.000 Cu
```

Crystal system: monoclinic
V, Å³/cell: 216.9

How do the energies compare? Relative to the most stable structure, in eV/atom: one 0.000; two 0.075.

one | The following is a DFT calculation (PBE) of Tm4Co2Cu after structural relaxation.

```
Tm4Co2Cu
1.0
-4.720 6.620 -2.550
-5.149 -4.236 -1.244
4.521 -0.003 7.220
Co Tm Cu
4 8 2
Direct
0.567 0.254 0.185 Co
0.665 0.520 0.855 Co
0.668 0.035 0.367 Co
0.069 0.254 0.688 Co
0.363 0.673 0.838 Tm
0.845 0.194 0.818 Tm
0.876 0.098 0.222 Tm
0.882 0.591 0.709 Tm
0.384 0.110 0.726 Tm
0.834 0.673 0.310 Tm
0.386 0.597 0.211 Tm
0.376 0.195 0.349 Tm
0.168 0.031 0.864 Cu
0.168 0.526 0.358 Cu
```

Crystal system: monoclinic
V, Å³/cell: 304.4

two | The following is a DFT calculation (PBE) of Tm4Co2Cu after structural relaxation.

```
Tm4Co2Cu
1.0
4.689 0.000 0.000
0.000 4.689 0.000
0.000 0.000 6.598
Co Tm Cu
2 4 1
Direct
0.500 0.500 0.500 Co
0.000 0.000 0.000 Co
0.000 0.500 0.252 Tm
0.000 0.500 0.748 Tm
0.500 0.000 0.252 Tm
0.500 0.000 0.748 Tm
0.500 0.500 0.000 Cu
```

Crystal system: tetragonal
V, Å³/cell: 145.1

How do the energies compare? Relative to the most stable structure, in eV/atom: one 0.000; two 0.035.

one | The following is a DFT calculation (PBE) of Co2CuW after structural relaxation.

```
Co2CuW
1.0
-3.405 1.998 -1.313
0.131 -1.240 -2.227
-2.687 -3.700 1.338
Co Cu W
2 1 1
Direct
0.000 0.999 0.006 Co
0.000 0.501 0.494 Co
0.500 0.250 0.250 Cu
0.500 0.750 0.750 W
```

Crystal system: monoclinic
V, Å³/cell: 50.3

two | The following is a DFT calculation (PBE) of Co2CuW after structural relaxation.

```
Co2CuW
1.0
-1.242 -3.527 -0.157
1.167 -0.308 -2.315
5.354 -1.885 -0.002
Co Cu W
2 1 1
Direct
0.000 0.003 0.998 Co
0.500 0.241 0.259 Co
0.000 0.518 0.482 Cu
0.500 0.738 0.761 W
```

Crystal system: orthorhombic
V, Å³/cell: 49.2

How do the energies compare? Relative to the most stable structure, in eV/atom: one 0.063; two 0.000.

one | The following is a DFT calculation (PBE) of Co2CuW after structural relaxation.

```
Co2CuW
1.0
4.566 0.000 0.015
3.807 2.522 0.015
0.883 0.266 4.298
Cu Co W
1 2 1
Direct
0.493 0.493 0.523 Cu
0.740 0.740 0.740 Co
0.011 0.011 0.009 Co
0.256 0.256 0.229 W
```

Crystal system: monoclinic
V, Å³/cell: 49.5

two | The following is a DFT calculation (PBE) of Co2CuW after structural relaxation.

```
Co2CuW
1.0
-1.707 -2.500 -0.273
2.468 -1.603 -0.757
0.839 -1.132 5.130
Co Cu W
2 1 1
Direct
0.000 0.000 0.003 Co
0.000 0.000 0.497 Co
0.500 0.500 0.250 Cu
0.500 0.500 0.750 W
```

Crystal system: tetragonal
V, Å³/cell: 49.1

three | The following is a DFT calculation (PBE) of Co2CuW after structural relaxation.

```
Co2CuW
1.0
8.492 0.016 0.009
8.074 2.633 0.009
8.074 1.291 2.295
Co W Cu
2 1 1
Direct
0.999 0.999 0.999 Co
0.501 0.501 0.501 Co
0.750 0.750 0.750 W
0.250 0.250 0.250 Cu
```

Crystal system: trigonal
V, Å³/cell: 50.8

four | The following is a DFT calculation (PBE) of Co2CuW after structural relaxation.

```
Co2CuW
1.0
-3.429 0.522 -1.492
-0.675 -3.706 0.256
-1.285 0.449 3.110
Co Cu W
2 1 1
Direct
0.500 0.500 0.000 Co
0.000 0.000 0.000 Co
0.500 0.000 0.500 Cu
0.000 0.500 0.500 W
```

Crystal system: tetragonal
V, Å³/cell: 48.4

How do the energies compare? Relative to the most stable structure, in eV/atom: one 0.066; two 0.000; three 0.136; four 0.060.

one | The following is a DFT calculation (PBE) of Co2CuW after structural relaxation.

```
Co2CuW
1.0
6.448 0.000 0.000
0.000 6.448 0.000
3.224 3.224 2.581
Cu Co W
2 4 2
Direct
0.500 0.500 0.000 Cu
0.250 0.750 0.500 Cu
0.113 0.625 0.250 Co
0.875 0.887 0.750 Co
0.637 0.125 0.250 Co
0.375 0.363 0.750 Co
0.750 0.250 0.500 W
0.000 0.000 0.000 W
```

Crystal system: tetragonal
V, Å³/cell: 107.3

two | The following is a DFT calculation (PBE) of Co2CuW after structural relaxation.

```
Co2CuW
1.0
-0.237 -0.131 -2.617
-1.796 -1.906 0.256
-5.252 4.981 0.226
Cu Co W
1 2 1
Direct
0.000 0.000 0.480 Cu
0.000 0.000 0.025 Co
0.500 0.500 0.238 Co
0.500 0.500 0.757 W
```

Crystal system: tetragonal
V, Å³/cell: 50.1

How do the energies compare? Relative to the most stable structure, in eV/atom: one 0.437; two 0.000.

one | The following is a DFT calculation (PBE) of Co2CuW after structural relaxation.

```
Co2CuW
1.0
0.293 -3.789 1.532
1.331 -0.562 3.834
-2.604 -1.240 2.911
Co Cu W
2 1 1
Direct
0.250 0.250 0.250 Co
0.750 0.750 0.750 Co
0.000 0.000 0.000 Cu
0.500 0.500 0.500 W
```

Crystal system: cubic
V, Å³/cell: 48.6

two | The following is a DFT calculation (PBE) of Co2CuW after structural relaxation.

```
Co2CuW
1.0
-0.421 -2.217 -3.455
-1.982 -3.618 0.099
-3.707 -0.371 -1.774
Co Cu W
2 1 1
Direct
0.000 0.000 0.000 Co
0.750 0.750 0.750 Co
0.500 0.500 0.500 Cu
0.250 0.250 0.250 W
```

Crystal system: cubic
V, Å³/cell: 49.7

How do the energies compare? Relative to the most stable structure, in eV/atom: one 0.000; two 0.218.

one | The following is a DFT calculation (PBE) of Co2CuW after structural relaxation.

```
Co2CuW
1.0
4.583 0.005 -0.009
1.837 4.198 0.009
-3.204 -2.111 2.506
Co Cu W
2 1 1
Direct
0.750 0.250 0.500 Co
0.000 0.000 0.000 Co
0.500 0.500 0.000 Cu
0.250 0.750 0.500 W
```

Crystal system: tetragonal
V, Å³/cell: 48.2

two | The following is a DFT calculation (PBE) of Co2CuW after structural relaxation.

```
Co2CuW
1.0
-2.921 1.405 2.869
-2.575 -3.414 0.675
4.318 0.214 0.215
W Co Cu
1 2 1
Direct
0.250 0.750 0.500 W
0.000 0.000 0.000 Co
0.500 0.500 0.000 Co
0.750 0.250 0.500 Cu
```

Crystal system: tetragonal
V, Å³/cell: 48.2

three | The following is a DFT calculation (PBE) of Co2CuW after structural relaxation.

```
Co2CuW
1.0
4.377 -0.008 0.010
3.589 2.505 0.010
0.728 0.228 4.501
Co Cu W
2 1 1
Direct
0.002 0.002 0.994 Co
0.498 0.498 0.506 Co
0.750 0.750 0.750 Cu
0.250 0.250 0.250 W
```

Crystal system: monoclinic
V, Å³/cell: 49.5

four | The following is a DFT calculation (PBE) of Co2CuW after structural relaxation.

```
Co2CuW
1.0
-3.144 0.679 2.938
-0.925 -3.904 -1.697
1.503 -1.173 1.879
Cu Co W
1 2 1
Direct
0.500 0.000 0.500 Cu
0.500 0.500 0.000 Co
0.000 0.000 0.000 Co
0.000 0.500 0.500 W
```

Crystal system: orthorhombic
V, Å³/cell: 49.2

How do the energies compare? Relative to the most stable structure, in eV/atom: one 0.075; two 0.000; three 0.155; four 0.165.